Entry 1:
Material: TlAg4Br8
Method: DFT, GGA-PBE
State: optimized geometry

Lattice parameters (Å, degrees): 8.219 8.219 8.219 59.11 59.11 59.11
Element x y z (fractional)
Tl 0.000 0.000 0.000
Ag 0.000 0.000 0.500
Ag 0.000 0.500 0.000
Ag 0.500 0.000 0.000
Ag 0.500 0.500 0.500
Br 0.233 0.233 0.233
Br 0.255 0.255 0.740
Br 0.255 0.740 0.255
Br 0.260 0.745 0.745
Br 0.740 0.255 0.255
Br 0.745 0.260 0.745
Br 0.745 0.745 0.260
Br 0.767 0.767 0.767

Results
magnetic moment: 0.00 μB per formula unit
DFT total energy: -2.405 eV per atom
ΔE_f (raw): -0.317 eV/atom
calculated volume: 384.64 Å³/f.u.

Entry 2:
Material: Sr3Ge2Bi2
Method: DFT, GGA-PBE
State: optimized geometry

Lattice parameters (Å, degrees): 10.404 10.404 10.404 153.80 151.29 39.26
Element x y z (fractional)
Sr 0.000 0.000 0.000
Sr 0.321 0.821 0.500
Sr 0.679 0.179 0.500
Ge 0.435 0.435 0.000
Ge 0.565 0.565 0.000
Bi 0.141 0.641 0.500
Bi 0.859 0.359 0.500

Results
E_form: -575.9 meV/atom
magnetic moment: 0.00 μB per formula unit
DFT total energy: -3.725 eV per atom
calculated volume: 238.44 Å³/f.u.

Entry 3:
Material: SrSb2As
Method: DFT, GGA-PBE
State: optimized geometry

Lattice parameters (Å, degrees): 4.320 4.356 6.943 90.00 90.00 90.00
Element x y z (fractional)
Sr 0.000 0.000 0.000
Sb 0.000 0.000 0.495
Sb 0.500 0.500 0.369
As 0.500 0.500 0.993

Results
magnetic moment: 0.00 μB per formula unit
DFT total energy: -4.085 eV per atom
ΔE_f (raw): -0.441 eV/atom
calculated volume: 130.68 Å³/f.u.

Entry 4:
Material: AlRe2GeB
Method: DFT, GGA-PBE
State: optimized geometry

Lattice parameters (Å, degrees): 4.222 4.222 3.885 90.00 90.00 90.00
Element x y z (fractional)
Al 0.000 0.000 0.000
Re 0.000 0.500 0.500
Re 0.500 0.000 0.500
Ge 0.500 0.500 0.000
B 0.000 0.000 0.500

Results
E_form: 353.4 meV/atom
magnetic moment: 0.00 μB per formula unit
DFT total energy: -7.633 eV per atom
calculated volume: 69.27 Å³/f.u.